[1]
This record from Alexandria describes crystalline Tm8Al2In3 at its relaxed geometry. The functional is PBE-GGA.

abc: 8.885 8.885 5.324
angles: 90.00 90.00 120.61
Fractional positions:
Tm (0.110, 0.890, 0.000)
Tm (0.165, 0.412, 0.500)
Tm (0.316, 0.684, 0.000)
Tm (0.412, 0.165, 0.500)
Tm (0.588, 0.835, 0.500)
Tm (0.684, 0.316, 0.000)
Tm (0.835, 0.588, 0.500)
Tm (0.890, 0.110, 0.000)
Al (0.223, 0.777, 0.500)
Al (0.777, 0.223, 0.500)
In (0.000, 0.000, 0.500)
In (0.320, 0.320, 0.000)
In (0.680, 0.680, 0.000)

As for the total energy: -4.107 eV per atom. The density of states at the Fermi level comes out at 13.30 states/eV per cell.


[2]
This record from Alexandria describes crystalline TmAlIn at its relaxed geometry. The functional is PBE-GGA.

abc: 8.395 8.395 8.395
angles: 158.40 158.40 30.73
Fractional positions:
Tm (0.000, 0.000, 0.000)
Al (0.818, 0.818, 0.000)
In (0.648, 0.648, 0.000)

As for the total energy: -3.401 eV per atom. The density of states at the Fermi level comes out at 3.08 states/eV per cell.


[3]
This record from Alexandria describes crystalline Tm3AlIn2 at its relaxed geometry. The functional is PBE-GGA.

abc: 8.245 8.245 3.620
angles: 90.00 90.00 143.08
Fractional positions:
Tm (0.000, 0.000, 0.000)
Tm (0.340, 0.660, 0.000)
Tm (0.660, 0.340, 0.000)
Al (0.500, 0.500, 0.500)
In (0.170, 0.830, 0.500)
In (0.830, 0.170, 0.500)

As for the total energy: -4.172 eV per atom. The density of states at the Fermi level comes out at 2.98 states/eV per cell.


[4]
This record from Alexandria describes crystalline Tm8Al2In at its relaxed geometry. The functional is PBE-GGA.

abc: 8.254 8.254 5.404
angles: 101.03 101.03 116.47
Fractional positions:
Tm (0.089, 0.331, 0.610)
Tm (0.223, 0.777, 0.000)
Tm (0.331, 0.089, 0.610)
Tm (0.395, 0.395, 0.199)
Tm (0.605, 0.605, 0.801)
Tm (0.669, 0.911, 0.390)
Tm (0.777, 0.223, 0.000)
Tm (0.911, 0.669, 0.390)
Al (0.306, 0.694, 0.500)
Al (0.694, 0.306, 0.500)
In (0.000, 0.000, 0.000)

As for the total energy: -4.293 eV per atom. The density of states at the Fermi level comes out at 11.44 states/eV per cell.


[5]
This record from Alexandria describes crystalline Tm3AlIn at its relaxed geometry. The functional is PBE-GGA.

abc: 11.113 11.113 4.847
angles: 90.00 90.00 154.82
Fractional positions:
Tm (0.059, 0.941, 0.750)
Tm (0.250, 0.750, 0.750)
Tm (0.441, 0.559, 0.750)
Tm (0.559, 0.441, 0.250)
Tm (0.750, 0.250, 0.250)
Tm (0.941, 0.059, 0.250)
Al (0.154, 0.846, 0.250)
Al (0.846, 0.154, 0.750)
In (0.346, 0.654, 0.250)
In (0.654, 0.346, 0.750)

As for the total energy: -4.306 eV per atom. The density of states at the Fermi level comes out at 6.86 states/eV per cell.


[6]
This record from Alexandria describes crystalline Tm8Al2In at its relaxed geometry. The functional is PBE-GGA.

abc: 8.689 8.689 8.689
angles: 147.01 123.21 67.27
Fractional positions:
Tm (0.127, 0.340, 0.787)
Tm (0.147, 0.147, 0.000)
Tm (0.309, 0.000, 0.309)
Tm (0.447, 0.660, 0.787)
Tm (0.553, 0.340, 0.213)
Tm (0.691, 0.000, 0.691)
Tm (0.853, 0.853, 0.000)
Tm (0.873, 0.660, 0.213)
Al (0.306, 0.806, 0.500)
Al (0.694, 0.194, 0.500)
In (0.000, 0.500, 0.500)

As for the total energy: -4.359 eV per atom. The density of states at the Fermi level comes out at 11.91 states/eV per cell.


[7]
This record from Alexandria describes crystalline Tm4AlIn2 at its relaxed geometry. The functional is PBE-GGA.

abc: 7.631 7.631 7.631
angles: 137.09 137.09 62.30
Fractional positions:
Tm (0.000, 0.500, 0.500)
Tm (0.250, 0.750, 0.500)
Tm (0.500, 0.000, 0.500)
Tm (0.750, 0.250, 0.500)
Al (0.000, 0.000, 0.000)
In (0.374, 0.374, 0.000)
In (0.626, 0.626, 0.000)

As for the total energy: -3.843 eV per atom. The density of states at the Fermi level comes out at 7.19 states/eV per cell.


[8]
This record from Alexandria describes crystalline TmAlIn at its relaxed geometry. The functional is PBE-GGA.

abc: 4.745 4.745 3.445
angles: 90.00 90.00 120.00
Fractional positions:
Tm (0.000, 0.000, 0.000)
Al (0.333, 0.667, 0.500)
In (0.667, 0.333, 0.500)

As for the total energy: -4.039 eV per atom. The density of states at the Fermi level comes out at 0.76 states/eV per cell.


[9]
This record from Alexandria describes crystalline Tm4AlIn at its relaxed geometry. The functional is PBE-GGA.

abc: 7.110 7.110 6.894
angles: 104.00 104.00 28.04
Fractional positions:
Tm (0.153, 0.153, 0.332)
Tm (0.155, 0.155, 0.821)
Tm (0.845, 0.845, 0.179)
Tm (0.847, 0.847, 0.668)
Al (0.500, 0.500, 0.500)
In (0.500, 0.500, 0.000)

As for the total energy: -4.340 eV per atom. The density of states at the Fermi level comes out at 5.43 states/eV per cell.


[10]
This record from Alexandria describes crystalline Tm12Al6In at its relaxed geometry. The functional is PBE-GGA.

abc: 8.655 8.655 8.655
angles: 109.47 109.47 109.47
Fractional positions:
Tm (0.097, 0.812, 0.285)
Tm (0.188, 0.285, 0.473)
Tm (0.188, 0.715, 0.903)
Tm (0.285, 0.097, 0.812)
Tm (0.285, 0.473, 0.188)
Tm (0.473, 0.188, 0.285)
Tm (0.527, 0.812, 0.715)
Tm (0.715, 0.527, 0.812)
Tm (0.715, 0.903, 0.188)
Tm (0.812, 0.285, 0.097)
Tm (0.812, 0.715, 0.527)
Tm (0.903, 0.188, 0.715)
Al (0.125, 0.625, 0.500)
Al (0.375, 0.500, 0.875)
Al (0.500, 0.125, 0.625)
Al (0.500, 0.875, 0.375)
Al (0.625, 0.500, 0.125)
Al (0.875, 0.375, 0.500)
In (0.000, 0.000, 0.000)

As for the total energy: -4.346 eV per atom. The density of states at the Fermi level comes out at 21.40 states/eV per cell.


[11]
This record from Alexandria describes crystalline Tm7Al2In2 at its relaxed geometry. The functional is PBE-GGA.

abc: 6.678 6.678 7.653
angles: 90.00 90.00 111.03
Fractional positions:
Tm (0.000, 0.000, 0.000)
Tm (0.000, 0.500, 0.283)
Tm (0.000, 0.500, 0.717)
Tm (0.500, 0.000, 0.283)
Tm (0.500, 0.000, 0.717)
Tm (0.500, 0.500, 0.240)
Tm (0.500, 0.500, 0.760)
Al (0.285, 0.715, 0.000)
Al (0.715, 0.285, 0.000)
In (0.186, 0.186, 0.500)
In (0.814, 0.814, 0.500)

As for the total energy: -4.061 eV per atom. The density of states at the Fermi level comes out at 10.91 states/eV per cell.


[12]
This record from Alexandria describes crystalline Tm3AlIn2 at its relaxed geometry. The functional is PBE-GGA.

abc: 3.471 3.471 12.230
angles: 90.00 90.00 90.00
Fractional positions:
Tm (0.000, 0.000, 0.000)
Tm (0.000, 0.000, 0.345)
Tm (0.000, 0.000, 0.655)
Al (0.500, 0.500, 0.500)
In (0.500, 0.500, 0.171)
In (0.500, 0.500, 0.829)

As for the total energy: -4.182 eV per atom. The density of states at the Fermi level comes out at 2.79 states/eV per cell.


[13]
This record from Alexandria describes crystalline Tm7Al4In at its relaxed geometry. The functional is PBE-GGA.

abc: 7.431 7.431 9.115
angles: 116.63 116.63 44.28
Fractional positions:
Tm (0.000, 0.000, 0.000)
Tm (0.244, 0.244, 0.711)
Tm (0.309, 0.309, 0.131)
Tm (0.419, 0.419, 0.578)
Tm (0.581, 0.581, 0.422)
Tm (0.691, 0.691, 0.869)
Tm (0.756, 0.756, 0.289)
Al (0.023, 0.023, 0.667)
Al (0.178, 0.178, 0.341)
Al (0.822, 0.822, 0.659)
Al (0.977, 0.977, 0.333)
In (0.500, 0.500, 0.000)

As for the total energy: -4.204 eV per atom. The density of states at the Fermi level comes out at 11.32 states/eV per cell.


[14]
This record from Alexandria describes crystalline UAlIn2 at its relaxed geometry. The functional is PBE-GGA.

abc: 4.461 4.461 4.643
angles: 90.00 90.00 90.00
Fractional positions:
U (0.000, 0.000, 0.000)
Al (0.500, 0.500, 0.000)
In (0.000, 0.500, 0.500)
In (0.500, 0.000, 0.500)

As for the total energy: -5.118 eV per atom. The density of states at the Fermi level comes out at 5.39 states/eV per cell.


[15]
This record from Alexandria describes crystalline Al2VIn at its relaxed geometry. The functional is PBE-GGA.

abc: 5.967 5.967 5.967
angles: 102.45 102.45 124.66
Fractional positions:
Al (0.104, 0.625, 0.979)
Al (0.375, 0.354, 0.479)
Al (0.646, 0.125, 0.021)
Al (0.875, 0.896, 0.521)
V (0.000, 0.000, 0.000)
V (0.750, 0.250, 0.500)
In (0.250, 0.750, 0.500)
In (0.500, 0.500, 0.000)

As for the total energy: -4.333 eV per atom. The density of states at the Fermi level comes out at 6.54 states/eV per cell.


[16]
This record from Alexandria describes crystalline Al2VIn at its relaxed geometry. The functional is PBE-GGA.

abc: 4.141 4.141 3.949
angles: 90.00 90.00 90.00
Fractional positions:
Al (0.000, 0.500, 0.000)
Al (0.500, 0.000, 0.000)
V (0.000, 0.000, 0.500)
In (0.500, 0.500, 0.500)

As for the total energy: -4.755 eV per atom. The density of states at the Fermi level comes out at 3.07 states/eV per cell.


[17]
This record from Alexandria describes crystalline AlVIn3 at its relaxed geometry. The functional is PBE-GGA.

abc: 5.235 5.235 5.235
angles: 90.00 90.00 90.00
Fractional positions:
Al (0.000, 0.000, 0.000)
V (0.500, 0.500, 0.500)
In (0.000, 0.000, 0.500)
In (0.000, 0.500, 0.000)
In (0.500, 0.000, 0.000)

As for the total energy: -3.329 eV per atom. The density of states at the Fermi level comes out at 9.55 states/eV per cell.


[18]
This record from Alexandria describes crystalline Al2V2In at its relaxed geometry. The functional is PBE-GGA.

abc: 7.107 7.107 3.245
angles: 90.00 90.00 90.00
Fractional positions:
Al (0.125, 0.375, 0.000)
Al (0.375, 0.875, 0.000)
Al (0.625, 0.125, 0.000)
Al (0.875, 0.625, 0.000)
V (0.171, 0.671, 0.500)
V (0.329, 0.171, 0.500)
V (0.671, 0.829, 0.500)
V (0.829, 0.329, 0.500)
In (0.000, 0.000, 0.000)
In (0.500, 0.500, 0.000)

As for the total energy: -5.600 eV per atom. The density of states at the Fermi level comes out at 7.48 states/eV per cell.


[19]
This record from Alexandria describes crystalline Al3V12In at its relaxed geometry. The functional is PBE-GGA.

abc: 4.833 4.911 9.631
angles: 90.00 90.00 90.00
Fractional positions:
Al (0.000, 0.000, 0.000)
Al (0.500, 0.500, 0.248)
Al (0.500, 0.500, 0.752)
V (0.000, 0.259, 0.239)
V (0.000, 0.259, 0.761)
V (0.000, 0.741, 0.239)
V (0.000, 0.741, 0.761)
V (0.234, 0.500, 0.000)
V (0.267, 0.500, 0.500)
V (0.500, 0.000, 0.126)
V (0.500, 0.000, 0.363)
V (0.500, 0.000, 0.637)
V (0.500, 0.000, 0.874)
V (0.733, 0.500, 0.500)
V (0.766, 0.500, 0.000)
In (0.000, 0.000, 0.500)

As for the total energy: -7.778 eV per atom. The density of states at the Fermi level comes out at 27.48 states/eV per cell.


[20]
This record from Alexandria describes crystalline Al2V2In at its relaxed geometry. The functional is PBE-GGA.

abc: 7.092 7.092 3.331
angles: 90.00 90.00 90.00
Fractional positions:
Al (0.178, 0.322, 0.000)
Al (0.322, 0.822, 0.000)
Al (0.678, 0.178, 0.000)
Al (0.822, 0.678, 0.000)
V (0.115, 0.615, 0.500)
V (0.385, 0.115, 0.500)
V (0.615, 0.885, 0.500)
V (0.885, 0.385, 0.500)
In (0.000, 0.000, 0.500)
In (0.500, 0.500, 0.500)

As for the total energy: -5.611 eV per atom. The density of states at the Fermi level comes out at 5.04 states/eV per cell.


[21]
This record from Alexandria describes crystalline AlVIn2 at its relaxed geometry. The functional is PBE-GGA.

abc: 6.218 6.218 6.218
angles: 102.29 102.29 125.06
Fractional positions:
Al (0.000, 0.000, 0.000)
Al (0.750, 0.250, 0.500)
V (0.250, 0.750, 0.500)
V (0.500, 0.500, 0.000)
In (0.120, 0.625, 0.995)
In (0.375, 0.370, 0.495)
In (0.630, 0.125, 0.005)
In (0.875, 0.880, 0.505)

As for the total energy: -4.043 eV per atom. The density of states at the Fermi level comes out at 10.84 states/eV per cell.


[22]
This record from Alexandria describes crystalline AlV2In at its relaxed geometry. The functional is PBE-GGA.

abc: 5.734 5.734 5.734
angles: 102.93 102.93 123.55
Fractional positions:
Al (0.000, 0.000, 0.000)
Al (0.750, 0.250, 0.500)
V (0.112, 0.625, 0.987)
V (0.375, 0.362, 0.487)
V (0.638, 0.125, 0.013)
V (0.875, 0.888, 0.513)
In (0.250, 0.750, 0.500)
In (0.500, 0.500, 0.000)

As for the total energy: -5.660 eV per atom. The density of states at the Fermi level comes out at 5.15 states/eV per cell.


[23]
This record from Alexandria describes crystalline AlVIn3 at its relaxed geometry. The functional is PBE-GGA.

abc: 5.219 5.219 5.219
angles: 90.00 90.00 90.00
Fractional positions:
Al (0.000, 0.000, 0.000)
V (0.500, 0.500, 0.500)
In (0.000, 0.500, 0.500)
In (0.500, 0.000, 0.500)
In (0.500, 0.500, 0.000)

As for the total energy: -3.561 eV per atom. The density of states at the Fermi level comes out at 5.48 states/eV per cell.


[24]
This record from Alexandria describes crystalline Al2InW at its relaxed geometry. The functional is PBE-GGA.

abc: 5.155 5.155 5.155
angles: 134.83 134.83 65.80
Fractional positions:
Al (0.000, 0.000, 0.000)
Al (0.750, 0.250, 0.500)
In (0.250, 0.750, 0.500)
W (0.500, 0.500, 0.000)

As for the total energy: -5.582 eV per atom. The density of states at the Fermi level comes out at 2.96 states/eV per cell.


| no. | size of the total moment (μB/f.u.) |
| --- | --- |
| 1 | 0.00 |
| 2 | 0.07 |
| 3 | 0.00 |
| 4 | 0.01 |
| 5 | 0.00 |
| 6 | 0.00 |
| 7 | 0.00 |
| 8 | 0.00 |
| 9 | 0.00 |
| 10 | 0.00 |
| 11 | 0.00 |
| 12 | 0.11 |
| 13 | 0.00 |
| 14 | 2.66 |
| 15 | 1.10 |
| 16 | 1.66 |
| 17 | 3.68 |
| 18 | 3.12 |
| 19 | 0.00 |
| 20 | 0.00 |
| 21 | 2.31 |
| 22 | 0.00 |
| 23 | 0.45 |
| 24 | 0.51 |